(1)
VASP calculation (PBE-GGA) on a relaxed structure of La3NpN4.

POSCAR file:
```
La3NpN4
1.0
6.350 0.000 0.000
0.000 7.318 0.000
-2.096 0.000 5.925
La Np N
6 2 8
direct
0.000 0.124 0.250
0.000 0.373 0.750
0.000 0.627 0.250
0.000 0.876 0.750
0.500 0.374 0.250
0.500 0.626 0.750
0.500 0.122 0.750
0.500 0.878 0.250
0.275 0.343 0.535
0.275 0.657 0.035
0.284 0.108 0.996
0.284 0.892 0.496
0.716 0.108 0.504
0.716 0.892 0.004
0.725 0.343 0.965
0.725 0.657 0.465
```

Results
Its crystal system is monoclinic. For the total energy, the calculation gives -8.910 eV per atom.

---

(2)
VASP calculation (PBE-GGA) on a relaxed structure of La2Np3N8.

POSCAR file:
```
La2Np3N8
1.0
6.940 0.000 0.000
-3.470 6.010 0.000
0.000 0.000 10.627
La Np N
4 6 16
direct
0.333 0.667 0.000
0.333 0.667 0.353
0.667 0.333 0.500
0.667 0.333 0.853
0.166 0.332 0.711
0.166 0.834 0.711
0.332 0.166 0.211
0.668 0.834 0.711
0.834 0.166 0.211
0.834 0.668 0.211
0.000 0.000 0.298
0.000 0.000 0.798
0.060 0.530 0.819
0.161 0.321 0.133
0.161 0.839 0.133
0.321 0.161 0.633
0.333 0.667 0.608
0.470 0.530 0.819
0.470 0.940 0.819
0.530 0.060 0.319
0.530 0.470 0.319
0.667 0.333 0.108
0.679 0.839 0.133
0.839 0.161 0.633
0.839 0.679 0.633
0.940 0.470 0.319
```

Results
Its crystal system is hexagonal. For the total energy, the calculation gives -9.945 eV per atom.

---

(3)
VASP calculation (PBE-GGA) on a relaxed structure of La3NpP2N8.

POSCAR file:
```
La3NpP2N8
1.0
5.655 0.000 0.000
-2.827 4.897 0.000
0.000 0.000 7.110
La Np P N
3 1 2 8
direct
0.000 0.000 0.000
0.333 0.667 0.677
0.667 0.333 0.323
0.000 0.000 0.500
0.333 0.667 0.214
0.667 0.333 0.786
0.177 0.354 0.306
0.177 0.823 0.306
0.333 0.667 0.988
0.354 0.177 0.694
0.646 0.823 0.306
0.667 0.333 0.012
0.823 0.177 0.694
0.823 0.646 0.694
```

Results
Its crystal system is trigonal. For the total energy, the calculation gives -8.661 eV per atom.

---

Raw formation energy: -1.282 -1.077 -1.151 (eV/atom)
V: 17.21 17.05 14.06 (Å³ per atom)
Size of the total moment: 2.65 3.00 2.00 (μB per formula unit)